# 1
A relaxed Li3Ag crystal. Source: the Alexandria database, functional GGA-PBE.

## Properties
ΔH_f (0 K), eV per atom: -0.094
Fermi-level density of states, states/eV per cell: 1.60
E_tot, eV per atom: -2.2420
Magnetic moment, μB per formula unit: 0.00
Volume, Å³ per atom: 17.0
Energy above the most stable polymorph in this dataset, meV per atom: 53

abc: 5.2286 5.2286 5.2286
angles: 116.46 116.46 116.46
Last column: nearest neighbours and their distance in Å.
Fractional coordinates of all 4 atoms:
Li (0.5000, 0.5000, 0.0000)  2 Ag 2.75, 6 Li 2.75-2.99
Li (0.5000, 0.0000, 0.5000)  6 Li 2.75-2.99, 2 Ag 2.75
Li (0.0000, 0.5000, 0.5000)  6 Li 2.75-2.99, 2 Ag 2.75
Ag (0.0000, 0.0000, 0.0000)  6 Li 2.75, 2 Ag 2.99

---

# 2
A relaxed Nd8SmIn2 crystal. Source: the Alexandria database, functional GGA-PBE.

## Properties
ΔH_f (0 K), eV per atom: -0.066
Fermi-level density of states, states/eV per cell: 14.33
E_tot, eV per atom: -4.4602
Magnetic moment, μB per formula unit: 0.00
Volume, Å³ per atom: 33.6

abc: 5.9432 9.0330 9.0330
angles: 120.08 103.71 103.71
Last column: nearest neighbours and their distance in Å.
Fractional coordinates of all 11 atoms:
Nd (0.8680, 0.6740, 0.9060)  2 In 3.30-3.42, 6 Nd 3.34-3.67
Nd (0.7081, 0.4104, 0.4104)  1 Nd 3.05, 1 Sm 3.30, 2 In 3.39
Nd (0.1320, 0.0940, 0.3260)  2 In 3.30-3.42, 6 Nd 3.34-3.67
Nd (0.1320, 0.3260, 0.0940)  2 In 3.30-3.42, 6 Nd 3.34-3.67
Nd (0.5000, 0.2169, 0.7831)  2 In 3.29, 1 Sm 3.39, 4 Nd 3.61-3.67
Nd (0.5000, 0.7831, 0.2169)  2 In 3.29, 1 Sm 3.39, 4 Nd 3.61-3.67
Nd (0.8680, 0.9060, 0.6740)  2 In 3.30-3.42, 6 Nd 3.34-3.67
Nd (0.2919, 0.5896, 0.5896)  1 Nd 3.05, 1 Sm 3.30, 2 In 3.39
In (0.0000, 0.6935, 0.3065)  8 Nd 3.29-3.42
In (0.0000, 0.3065, 0.6935)  8 Nd 3.29-3.42
Sm (0.5000, 0.0000, 0.0000)  4 Nd 3.30-3.39

---

# 3
A relaxed Er6ZnS5 crystal. Source: the Alexandria database, functional GGA-PBE.

## Properties
Energy relative to the elements, uncorrected, eV per atom: -1.680
Fermi-level density of states, states/eV per cell: 3.95
E_tot, eV per atom: -5.7874
Magnetic moment, μB per formula unit: 0.00
Volume, Å³ per atom: 21.1

abc: 6.7736 6.7736 6.7514
angles: 99.61 99.61 119.93
Last column: nearest neighbours and their distance in Å.
Fractional coordinates of all 12 atoms:
Er (0.7494, 0.7494, 0.2498)  5 S 2.75-2.78, 1 Zn 2.77
Er (0.0828, 0.4173, 0.2491)  5 S 2.74-2.77, 1 Zn 2.77
Er (0.2506, 0.2506, 0.7502)  5 S 2.75-2.78, 1 Zn 2.77
Er (0.4173, 0.0828, 0.2491)  5 S 2.74-2.77, 1 Zn 2.77
Er (0.9172, 0.5827, 0.7509)  5 S 2.74-2.77, 1 Zn 2.77
Er (0.5827, 0.9172, 0.7509)  5 S 2.74-2.77, 1 Zn 2.77
Zn (0.0000, 0.0000, 0.0000)  6 Er 2.77
S (0.5000, 0.5000, 0.5000)  6 Er 2.76-2.77
S (0.3341, 0.6659, 0.0000)  6 Er 2.75-2.76
S (0.1687, 0.8313, 0.5000)  6 Er 2.74-2.78
S (0.8313, 0.1687, 0.5000)  6 Er 2.74-2.78
S (0.6659, 0.3341, 0.0000)  6 Er 2.75-2.76

---

# 4
A relaxed Li3BeAs2 crystal. Source: the Alexandria database, functional GGA-PBE.

## Properties
ΔH_f (0 K), eV per atom: -0.499
Fermi-level density of states, states/eV per cell: 3.58
E_tot, eV per atom: -3.6272
Magnetic moment, μB per formula unit: 0.00
Volume, Å³ per atom: 15.5

abc: 5.3440 5.3060 7.5608
angles: 110.54 110.70 90.00
Last column: nearest neighbours and their distance in Å.
Fractional coordinates of all 12 atoms:
Li (0.5506, 0.3205, 0.6411)  5 As 2.65-2.85, 2 Li 2.97
Li (0.5000, 0.2500, 0.0000)  4 As 2.54, 2 Li 2.65, 2 Be 2.67
Li (0.9095, 0.1795, 0.3589)  5 As 2.65-2.85, 2 Li 2.97
Li (0.4494, 0.6795, 0.3589)  5 As 2.65-2.85, 2 Li 2.97
Li (0.0905, 0.8205, 0.6411)  5 As 2.65-2.85, 2 Li 2.97
Li (0.5000, 0.7500, 0.0000)  4 As 2.54, 2 Li 2.65, 2 Be 2.67
Be (0.0000, 0.7500, 0.0000)  4 As 2.35
Be (0.0000, 0.2500, 0.0000)  4 As 2.35
As (0.8998, 0.6182, 0.2364)  2 Be 2.35, 2 Li 2.54
As (0.3367, 0.1182, 0.2364)  2 Be 2.35, 2 Li 2.54
As (0.1002, 0.3818, 0.7636)  2 Be 2.35, 2 Li 2.54
As (0.6633, 0.8818, 0.7636)  2 Be 2.35, 2 Li 2.54

---

# 5
A relaxed Mn2GaBSe crystal. Source: the Alexandria database, functional GGA-PBE.

## Properties
Energy relative to the elements, uncorrected, eV per atom: -0.012
Fermi-level density of states, states/eV per cell: 4.62
E_tot, eV per atom: -6.3178
Magnetic moment, μB per formula unit: 4.06
Volume, Å³ per atom: 14.7
Energy above the most stable polymorph in this dataset, meV per atom: 124

abc: 6.9742 3.4951 6.0495
angles: 90.00 89.97 90.00
Last column: nearest neighbours and their distance in Å.
Fractional coordinates of all 10 atoms:
B (0.9018, 0.5000, 0.1709)  4 Mn 2.08-2.16, 3 Ga 2.26
B (0.9018, 0.0000, 0.6709)  4 Mn 2.08-2.16, 3 Ga 2.26
Ga (0.0467, 0.0000, 0.3376)  3 B 2.26, 1 Se 2.48, 3 Mn 2.52
Ga (0.0467, 0.5000, 0.8376)  3 B 2.26, 1 Se 2.48, 3 Mn 2.52
Mn (0.5915, 0.0000, 0.6707)  1 B 2.16, 3 Se 2.41
Mn (0.8300, 0.0000, 0.0044)  3 B 2.08
Mn (0.8300, 0.5000, 0.5044)  3 B 2.08
Mn (0.5915, 0.5000, 0.1707)  1 B 2.16, 3 Se 2.41
Se (0.4026, 0.0000, 0.3374)  3 Mn 2.41, 1 Ga 2.48
Se (0.4026, 0.5000, 0.8374)  3 Mn 2.41, 1 Ga 2.48

---

# 6
A relaxed La5Pr4Er4 crystal. Source: the Alexandria database, functional GGA-PBE.

## Properties
ΔH_f (0 K), eV per atom: 0.025
Fermi-level density of states, states/eV per cell: 21.46
E_tot, eV per atom: -4.7445
Magnetic moment, μB per formula unit: 0.00
Volume, Å³ per atom: 34.8

abc: 5.1705 9.7101 9.7101
angles: 85.94 74.56 74.56
Last column: nearest neighbours and their distance in Å.
Fractional coordinates of all 13 atoms:
Pr (0.3833, 0.6940, 0.5394)  4 Er 3.64-3.66, 3 La 3.66-3.72, 5 Pr 3.68-3.70
Pr (0.0773, 0.5394, 0.3060)  4 Er 3.64-3.66, 3 La 3.66-3.72, 5 Pr 3.68-3.70
Pr (0.6167, 0.3060, 0.4606)  4 Er 3.64-3.66, 3 La 3.66-3.72, 5 Pr 3.68-3.70
Pr (0.9227, 0.4606, 0.6940)  4 Er 3.64-3.66, 3 La 3.66-3.72, 5 Pr 3.68-3.70
La (0.5412, 0.7682, 0.1494)  5 Er 3.62-3.71, 4 La 3.65, 3 Pr 3.66-3.72
La (0.0000, 0.0000, 0.0000)  8 La 3.65, 4 Er 3.71
La (0.6906, 0.8506, 0.7682)  5 Er 3.62-3.71, 4 La 3.65, 3 Pr 3.66-3.72
La (0.3094, 0.1494, 0.2318)  5 Er 3.62-3.71, 4 La 3.65, 3 Pr 3.66-3.72
La (0.4588, 0.2318, 0.8506)  5 Er 3.62-3.71, 4 La 3.65, 3 Pr 3.66-3.72
Er (0.1550, 0.0781, 0.6118)  6 La 3.62-3.71, 2 Er 3.63, 4 Pr 3.64-3.66
Er (0.7668, 0.3882, 0.0781)  6 La 3.62-3.71, 2 Er 3.63, 4 Pr 3.64-3.66
Er (0.8450, 0.9219, 0.3882)  6 La 3.62-3.71, 2 Er 3.63, 4 Pr 3.64-3.66
Er (0.2332, 0.6118, 0.9219)  6 La 3.62-3.71, 2 Er 3.63, 4 Pr 3.64-3.66